1.
The following is a DFT calculation (PBE) of a geometry-optimized CoSiS3 structure.

Unit cell a=4.432 b=4.432 c=4.432 alpha=90.00 beta=90.00 gamma=90.00
Fractional positions:
Si1 0.500 0.500 0.500
Co1 0.000 0.000 0.000
S1 0.000 0.000 0.500
S2 0.500 0.000 0.000
S3 0.000 0.500 0.000

Calculated values
Density of states at the Fermi level   5.452 states/eV/f.u.
DFT total energy   -4.447 eV/atom
Energy above the lowest structure with this stoichiometry   0.000 eV per atom
Total magnetic moment   1.6 Bohr magnetons per cell
E_form (uncorrected)   2.68 eV per formula unit

2.
The following is a DFT calculation (PBE) of a geometry-optimized CeTmNi10 structure.

Unit cell a=3.977 b=4.868 c=8.411 alpha=90.00 beta=90.00 gamma=90.00
Fractional positions:
Tm1 0.000 0.500 0.500
Ni1 0.000 0.000 0.668
Ni2 0.000 0.000 0.332
Ni3 0.500 0.748 0.747
Ce1 0.000 0.000 0.000
Ni4 0.500 0.748 0.253
Ni5 0.500 0.000 0.500
Ni6 0.000 0.500 0.834
Ni7 0.500 0.252 0.253
Ni8 0.500 0.500 0.000
Ni9 0.500 0.252 0.747
Ni10 0.000 0.500 0.166

Calculated values
Density of states at the Fermi level   12.648 states/eV/f.u.
DFT total energy   -6.027 eV/atom
Energy of formation   -7.9 kcal/mol of atoms
Total magnetic moment   2.3 Bohr magnetons per cell

3.
The following is a DFT calculation (PBE) of a geometry-optimized V2CrIr structure.

Unit cell a=3.048 b=4.173 c=4.173 alpha=90.00 beta=90.00 gamma=90.00
Fractional positions:
V1 0.000 0.500 0.000
V2 0.000 0.000 0.500
Ir1 0.500 0.000 0.000
Cr1 0.500 0.500 0.500

Calculated values
Density of states at the Fermi level   3.377 states/eV/f.u.
DFT total energy   -9.465 eV/atom
Energy of formation   -6.6 kcal/mol of atoms
Total magnetic moment   0.0 Bohr magnetons per cell

4.
The following is a DFT calculation (PBE) of a geometry-optimized CuHgMo2 structure.

Unit cell a=2.782 b=2.782 c=8.259 alpha=90.00 beta=90.00 gamma=90.00
Fractional positions:
Mo1 0.000 0.000 0.472
Cu1 0.500 0.500 0.250
Mo2 0.000 0.000 0.028
Hg1 0.500 0.500 0.750

Calculated values
Density of states at the Fermi level   1.272 states/eV/f.u.
DFT total energy   -6.071 eV/atom
Energy of formation   10.2 kcal/mol of atoms
Total magnetic moment   0.0 Bohr magnetons per cell

5.
The following is a DFT calculation (PBE) of a geometry-optimized Tb2CdRh structure.

Unit cell a=5.075 b=5.075 c=5.075 alpha=60.00 beta=60.00 gamma=60.00
Fractional positions:
Tb1 0.750 0.750 0.750
Cd1 0.500 0.500 0.500
Rh1 0.000 0.000 0.000
Tb2 0.250 0.250 0.250

Calculated values
Density of states at the Fermi level   2.295 states/eV/f.u.
DFT total energy   -4.902 eV/atom
Energy of formation   -12.0 kcal/mol of atoms
Energy above the lowest structure with this stoichiometry   0.081 eV per atom
Total magnetic moment   0.0 Bohr magnetons per cell

6.
The following is a DFT calculation (PBE) of a geometry-optimized DyHo2ThAs4 structure.

Unit cell a=4.154 b=7.172 c=7.176 alpha=70.52 beta=90.00 gamma=90.00
Fractional positions:
As1 0.500 0.247 0.748
As2 0.500 0.753 0.252
As3 0.000 0.757 0.744
Ho1 0.500 0.000 0.500
Ho2 0.000 0.000 0.000
Dy1 0.000 0.500 0.500
As4 0.000 0.243 0.256
Th1 0.500 0.500 0.000

Calculated values
Density of states at the Fermi level   1.506 states/eV/f.u.
DFT total energy   -6.483 eV/atom
Energy of formation   -34.8 kcal/mol of atoms
Total magnetic moment   0.0 Bohr magnetons per cell

- Look up the DFT total energy of the fourth one.
  -6.071 eV/atom

- Which value of total magnetic moment does entry 2 give?
  2.3 Bohr magnetons per cell

- What is the total magnetic moment in the fifth record?
  0.0 Bohr magnetons per cell